The following is a PBE with a Hubbard U calculation of a geometry-optimized Ni9O13 structure, from Alexandria via LeMat-Bulk.

```
Ni9O13
1.0
1.942 -2.299 -4.526
4.127 -0.704 -3.466
3.668 -10.963 8.934
Ni O
9 13
Direct
0.043 0.043 0.329
0.368 0.368 0.045
0.500 0.500 0.500
0.632 0.632 0.955
0.276 0.276 0.392
0.724 0.724 0.608
0.870 0.870 0.867
0.957 0.957 0.671
0.130 0.130 0.133
0.910 0.910 0.409
0.813 0.813 0.734
0.541 0.541 0.750
0.459 0.459 0.250
0.090 0.090 0.591
0.638 0.638 0.413
0.502 0.502 0.838
0.187 0.187 0.266
0.000 0.000 0.000
0.737 0.737 0.081
0.263 0.263 0.919
0.362 0.362 0.587
0.498 0.498 0.162
```

## Properties
calculated total energy	-4.68	eV per atom